The following is a GGA-PBE calculation of a geometry-optimized Nb3Pd8 structure, from Alexandria via LeMat-Bulk.

POSCAR file:
```
Nb3Pd8
1.0
6.005 -1.168 -1.140
-1.015 6.033 -1.140
-1.015 -0.990 6.059
Pd Nb
8 3
direct
0.320 0.002 0.823
0.002 0.823 0.320
0.292 0.292 0.292
0.177 0.680 0.998
0.708 0.708 0.708
0.680 0.998 0.177
0.823 0.320 0.002
0.998 0.177 0.680
0.500 0.000 0.500
0.000 0.500 0.500
0.500 0.500 0.000
```

Results
For the uncorrected energy, the calculation gives -70.56 eV/cell. Its formation enthalpy at 0 K is 0.1083 eV/atom. Its symmetry is R-3 (148). As for the crystal system: trigonal. The calculation puts the density of states at the Fermi level at 8.85 states/eV/f.u.

---

The following is a GGA-PBE calculation of a geometry-optimized LaZrTc2 structure, from Alexandria via LeMat-Bulk.

POSCAR file:
```
LaZrTc2
1.0
8.775 0.008 0.005
8.151 3.250 0.005
8.151 1.569 2.846
Zr Tc La
1 2 1
direct
0.250 0.250 0.250
0.504 0.504 0.504
0.996 0.996 0.996
0.750 0.750 0.750
```

Results
For the uncorrected energy, the calculation gives -33.00 eV/cell. Its formation enthalpy at 0 K is 0.3012 eV/atom. Its symmetry is R-3m (166). The relative energy among the computed polymorphs comes out at 0.237 eV/atom. As for the crystal system: trigonal. The calculation puts the density of states at the Fermi level at 4.39 states/eV/f.u.

---

The following is a GGA-PBE calculation of a geometry-optimized NaCSe2Br structure, from Alexandria via LeMat-Bulk.

POSCAR file:
```
NaCSe2Br
1.0
-2.161 -2.530 2.563
1.704 -3.352 -1.872
6.562 0.158 5.688
C Br Se Na
1 1 2 1
direct
0.000 0.000 0.000
0.000 0.000 0.500
0.500 0.000 0.000
0.000 0.500 0.000
0.500 0.500 0.500
```

Results
For the uncorrected energy, the calculation gives -17.06 eV/cell. Its symmetry is P4/mmm (123). The relative energy among the computed polymorphs comes out at 0.000 eV/atom. Its raw formation energy is 40.98 kJ per mole of atoms. As for the crystal system: tetragonal. The calculation puts the density of states at the Fermi level at 1.52 states/eV/f.u.

---

The following is a GGA-PBE calculation of a geometry-optimized Sc4ZnGaPd2 structure, from Alexandria via LeMat-Bulk.

POSCAR file:
```
Sc4ZnGaPd2
1.0
-3.841 -1.372 -2.363
-0.358 -4.441 -1.542
-4.763 -3.974 5.346
Ga Sc Pd Zn
1 4 2 1
direct
0.500 0.500 0.500
0.625 0.625 0.124
0.875 0.875 0.374
0.375 0.375 0.876
0.125 0.125 0.626
0.250 0.250 0.249
0.750 0.750 0.751
0.000 0.000 0.000
```

Results
For the uncorrected energy, the calculation gives -45.48 eV/cell. Its formation enthalpy at 0 K is -0.6831 eV/atom. Its symmetry is R-3m (166). As for the crystal system: trigonal. The calculation puts the density of states at the Fermi level at 6.29 states/eV/f.u.

---

What is the formula in the fourth record? Sc4ZnGaPd2